[1]
{"formula": "Cs2RbLiSn", "functional": "PBE-GGA", "state": "optimized geometry", "formation_energy_kj_per_mol_fu": 6, "e_above_lowest_polymorph_ev_per_atom": 0.000, "cell": [[7.039, 0.000, 0.000], [0.000, 7.039, 0.000], [0.000, 0.000, 5.468]], "species": ["Rb", "Sn", "Cs", "Cs", "Li"], "fractional_positions": [[0.500, 0.500, 0.500], [0.000, 0.000, 0.500], [0.000, 0.500, 0.000], [0.500, 0.000, 0.000], [0.000, 0.000, 0.000]]}

---

[2]
{"formula": "LiCa2HfAg", "functional": "PBE-GGA", "state": "optimized geometry", "formation_energy_kj_per_mol_fu": 366, "cell": [[-1.751, -4.890, 1.246], [-0.473, -1.087, -4.930], [5.022, -1.818, -0.081]], "species": ["Ca", "Li", "Ca", "Ag", "Hf"], "fractional_positions": [[0.500, 0.000, 0.000], [0.000, 0.000, 0.000], [0.000, 0.000, 0.500], [0.500, 0.500, 0.500], [0.000, 0.500, 0.000]]}

---

[3]
{"formula": "Dy2Sc3Bi2Sb2", "functional": "PBE-GGA", "state": "optimized geometry", "formation_energy_uncorrected_mev_per_atom": -515, "cell": [[5.754, 0.000, 0.000], [0.000, 5.754, 0.000], [-2.877, -2.877, 7.603]], "species": ["Sc", "Sc", "Sc", "Bi", "Sb", "Sb", "Dy", "Bi", "Dy"], "fractional_positions": [[0.250, 0.750, 0.500], [0.000, 0.000, 0.000], [0.750, 0.250, 0.500], [0.197, 0.197, 0.394], [0.500, 0.000, 0.000], [0.000, 0.500, 0.000], [0.401, 0.401, 0.802], [0.803, 0.803, 0.606], [0.599, 0.599, 0.198]]}

---

[4]
{"formula": "TlHgW2", "functional": "PBE-GGA", "state": "optimized geometry", "formation_energy_kj_per_mol_fu": 442, "e_above_lowest_polymorph_ev_per_atom": 0.549, "cell": [[-1.696, 0.993, 2.069], [1.554, -1.397, 1.943], [5.492, 7.420, 0.942]], "species": ["Tl", "W", "Hg", "W"], "fractional_positions": [[0.500, 0.500, 0.750], [0.000, 0.000, 0.494], [0.500, 0.500, 0.250], [0.000, 0.000, 0.006]]}